5
Lattice="5.5429 0.0000 0.0000 0.0000 5.5429 0.0000 0.0000 0.0000 5.6584" Properties=species:S:1:pos:R:3 comment="CaTeMoI2, relaxed, DFT PBE-GGA" relative_energy_mev_per_atom=0 rho_kg_m3=4942 formation_energy_uncorrected_mev_per_atom=-100 space_group=P4/mmm pbc="T T T"
Ca 0.0000 0.0000 0.0000
Te 2.7715 2.7715 0.0000
Mo 2.7715 2.7715 2.8292
I 0.0000 2.7715 2.8292
I 2.7715 0.0000 2.8292

4
Lattice="2.9490 0.0000 0.0000 0.0000 2.9490 0.0000 0.0000 0.0000 5.6401" Properties=species:S:1:pos:R:3 comment="CrFe2As, relaxed, DFT PBE-GGA" rho_kg_m3=8078 energy_ev_per_cell=-30.73 space_group=P4mm pbc="T T T"
Cr 0.0000 0.0000 0.0000
Fe 0.0000 0.0000 2.7702
Fe 1.4745 1.4745 1.3765
As 1.4745 1.4745 4.1141

10
Lattice="3.0907 0.0000 0.0000 0.0000 3.0907 0.0000 0.0000 0.0000 12.0887" Properties=species:S:1:pos:R:3 comment="GeB2Rh2, relaxed, DFT PBE-GGA" relative_energy_mev_per_atom=0 rho_kg_m3=8630 space_group=I4/mmm pbc="T T T"
Ge 0.0000 0.0000 0.0000
Ge 1.5453 1.5453 6.0444
B 0.0000 1.5453 3.0222
B 0.0000 1.5453 9.0665
B 1.5453 0.0000 3.0222
B 1.5453 0.0000 9.0665
Rh 0.0000 0.0000 4.5453
Rh 0.0000 0.0000 7.5434
Rh 1.5453 1.5453 1.4991
Rh 1.5453 1.5453 10.5896

16
Lattice="11.0796 0.0000 0.0000 0.0000 11.0796 0.0000 0.0000 0.0000 3.4564" Properties=species:S:1:pos:R:3 comment="CrTe, relaxed, DFT PBE-GGA" rho_kg_m3=5623 formation_energy_uncorrected_mev_per_atom=313 space_group=I4/m pbc="T T T"
Cr 2.0135 8.0408 0.0000
Cr 2.5010 3.5263 1.7282
Cr 3.0388 2.0135 0.0000
Cr 3.5263 8.5786 1.7282
Cr 7.5534 2.5010 1.7282
Cr 8.0408 9.0661 0.0000
Cr 8.5786 7.5534 1.7282
Cr 9.0661 3.0388 0.0000
Te 0.6396 3.0433 0.0000
Te 2.4966 6.1794 1.7282
Te 3.0433 10.4401 0.0000
Te 4.9003 2.4966 1.7282
Te 6.1794 8.5831 1.7282
Te 8.0364 0.6396 0.0000
Te 8.5831 4.9003 1.7282
Te 10.4401 8.0364 0.0000

15
Lattice="4.1818 2.4143 6.5269 -4.1818 2.4143 6.5269 0.0000 -4.8287 6.5269" Properties=species:S:1:pos:R:3 comment="Mg8Tl6Pb, relaxed, DFT PBE-GGA" rho_kg_m3=6837 energy_ev_per_cell=-30.33 space_group=R-3 pbc="T T T"
Mg -1.9936 -0.0423 7.4258
Mg 0.0000 0.0000 4.7891
Mg 1.0334 -1.7053 7.4258
Mg -0.9602 -1.7476 12.1550
Mg 0.9602 1.7476 7.4258
Mg -1.0334 1.7054 12.1550
Mg 0.0000 0.0000 14.7917
Mg 1.9936 0.0423 12.1550
Tl -1.1907 -3.2288 8.5470
Tl -3.3916 -0.5832 11.0337
Tl -2.2009 2.6456 8.5470
Tl 2.2008 -2.6456 11.0337
Tl 3.3916 0.5832 8.5470
Tl 1.1907 3.2288 11.0337
Pb 0.0000 0.0000 9.7904

12
Lattice="7.8690 0.0000 0.0000 0.0000 7.8690 0.0000 0.0000 0.0000 7.8690" Properties=species:S:1:pos:R:3 comment="AcBiBr, relaxed, DFT PBE-GGA" relative_energy_mev_per_atom=322 rho_kg_m3=7032 formation_energy_uncorrected_mev_per_atom=-851 space_group=F-43m pbc="T T T"
Ac 0.0000 0.0000 0.0000
Ac 0.0000 3.9345 3.9345
Ac 3.9345 0.0000 3.9345
Ac 3.9345 3.9345 0.0000
Bi 1.9672 1.9672 1.9672
Bi 1.9672 5.9017 5.9017
Bi 5.9017 1.9672 5.9017
Bi 5.9017 5.9017 1.9672
Br 1.9672 1.9672 5.9017
Br 1.9672 5.9017 1.9672
Br 5.9017 1.9672 1.9672
Br 5.9017 5.9017 5.9017

12
Lattice="5.1771 0.0000 0.0000 -2.5886 4.4835 0.0000 0.0000 0.0000 14.5787" Properties=species:S:1:pos:R:3 comment="SmAgBi2, relaxed, DFT PBE-GGA" rho_kg_m3=9954 energy_ev_per_cell=-48.74 space_group=R-3m pbc="T T T"
Sm 0.0000 0.0000 0.0000
Sm 0.0000 2.9890 9.7191
Sm 2.5886 1.4945 4.8596
Ag 0.0000 0.0000 7.2893
Ag 0.0000 2.9890 2.4298
Ag 2.5886 1.4945 12.1489
Bi 0.0000 0.0000 3.4522
Bi 0.0000 0.0000 11.1264
Bi 0.0000 2.9890 6.2669
Bi 0.0000 2.9890 13.1713
Bi 2.5886 1.4945 1.4073
Bi 2.5886 1.4945 8.3118

16
Lattice="4.3639 0.0000 0.0000 0.0000 4.3639 0.0000 0.0000 0.0000 22.9835" Properties=species:S:1:pos:R:3 comment="RbHf2Sc, relaxed, DFT PBE-GGA" relative_energy_mev_per_atom=18 rho_kg_m3=7397 space_group=I-42d pbc="T T T"
Rb 0.0000 0.0000 0.0000
Rb 0.0000 2.1820 5.7459
Rb 2.1820 0.0000 17.2377
Rb 2.1820 2.1820 11.4918
Hf 1.0177 3.2729 14.3647
Hf 1.0910 1.0177 8.6188
Hf 1.0910 1.1643 20.1106
Hf 1.1643 3.2729 2.8729
Hf 3.1996 1.0910 2.8729
Hf 3.2729 3.1996 20.1106
Hf 3.2729 3.3462 8.6188
Hf 3.3462 1.0910 14.3647
Sc 0.0000 0.0000 11.4918
Sc 0.0000 2.1820 17.2377
Sc 2.1820 0.0000 5.7459
Sc 2.1820 2.1820 0.0000

8
Lattice="8.1562 0.0000 0.0000 0.0000 2.9972 0.0000 -0.3264 0.0000 9.9573" Properties=species:S:1:pos:R:3 comment="K2ReRu, relaxed, DFT PBE-GGA" relative_energy_mev_per_atom=47 rho_kg_m3=4986 space_group=Cm pbc="T T T"
K 0.0000 0.0000 0.0000
K 1.6754 0.0000 5.6899
K 4.0781 1.4986 0.0000
K 5.7535 1.4986 5.6899
Re 3.7764 0.0000 3.2034
Re 7.8545 1.4986 3.2034
Ru 1.9526 1.4986 2.4447
Ru 6.0307 0.0000 2.4447

5
Lattice="6.1168 0.0000 0.0000 0.0000 6.1168 0.0000 0.0000 0.0000 6.1168" Properties=species:S:1:pos:R:3 comment="RbLiCl3, relaxed, DFT PBE-GGA" relative_energy_mev_per_atom=567 rho_kg_m3=1442 formation_energy_uncorrected_mev_per_atom=-778 space_group=Pm-3m pbc="T T T"
Rb 0.0000 0.0000 0.0000
Li 3.0584 3.0584 3.0584
Cl 0.0000 0.0000 3.0584
Cl 0.0000 3.0584 0.0000
Cl 3.0584 0.0000 0.0000

8
Lattice="7.9383 0.0000 0.0000 0.0000 3.0353 0.0000 -2.4566 0.0000 8.2793" Properties=species:S:1:pos:R:3 comment="Re2PbBr, relaxed, DFT PBE-GGA" relative_energy_mev_per_atom=240 rho_kg_m3=10980 formation_energy_uncorrected_mev_per_atom=546 space_group=Cm pbc="T T T"
Re 0.0000 0.0000 0.0000
Re -0.3442 0.0000 7.2062
Re 3.9691 1.5176 0.0000
Re 3.6249 1.5176 7.2062
Pb 1.6639 1.5176 1.9393
Pb 5.6331 0.0000 1.9393
Br -0.5400 1.5176 5.1529
Br 3.4291 0.0000 5.1529

5
Lattice="4.9884 0.0000 0.0000 0.0000 4.9884 0.0000 0.0000 0.0000 4.2091" Properties=species:S:1:pos:R:3 comment="ReBAsI2, relaxed, DFT PBE-GGA" rho_kg_m3=8335 formation_energy_uncorrected_mev_per_atom=1508 space_group=P4/mmm pbc="T T T"
Re 0.0000 0.0000 0.0000
B 0.0000 0.0000 2.1045
As 2.4942 2.4942 0.0000
I 0.0000 2.4942 2.1045
I 2.4942 0.0000 2.1045

4
Lattice="3.3201 0.0000 0.0000 0.0000 3.3201 0.0000 0.0000 0.0000 6.2573" Properties=species:S:1:pos:R:3 comment="TaTcAg2, relaxed, DFT PBE-GGA" relative_energy_mev_per_atom=13 rho_kg_m3=11909 space_group=P4mm pbc="T T T"
Ta 0.0000 0.0000 0.0000
Tc 1.6601 1.6601 1.2156
Ag 0.0000 0.0000 2.9736
Ag 1.6601 1.6601 4.4886

5
Lattice="4.7945 0.0000 0.0000 0.0000 4.7945 0.0000 0.0000 0.0000 5.3972" Properties=species:S:1:pos:R:3 comment="LaHf2PW, relaxed, DFT PBE-GGA" rho_kg_m3=9512 energy_ev_per_cell=-41.09 space_group=P4/mmm pbc="T T T"
La 0.0000 0.0000 0.0000
Hf 0.0000 2.3972 2.6986
Hf 2.3972 0.0000 2.6986
P 0.0000 0.0000 2.6986
W 2.3972 2.3972 0.0000

12
Lattice="8.0379 0.0000 0.0000 0.0000 3.5794 0.0000 -0.0929 0.0000 12.5763" Properties=species:S:1:pos:R:3 comment="Tm3Th2Sc, relaxed, DFT PBE-GGA" relative_energy_mev_per_atom=37 rho_kg_m3=9324 space_group=P2_1/m pbc="T T T"
Tm 0.6619 0.8948 4.9277
Tm 2.6895 2.6845 11.8756
Tm 3.1866 2.6845 3.1123
Tm 4.7585 0.8948 9.4640
Tm 5.2556 0.8948 0.7008
Tm 7.2831 2.6845 7.6486
Th 0.6993 0.8948 1.3354
Th 2.8345 2.6845 7.0781
Th 5.1105 0.8948 5.4982
Th 7.2457 2.6845 11.2409
Sc 1.4083 0.8948 9.4413
Sc 6.5367 2.6845 3.1351

16
Lattice="7.9019 0.0000 0.0000 0.0000 7.9019 0.0000 0.0000 0.0000 7.9019" Properties=species:S:1:pos:R:3 comment="K2InAu, relaxed, DFT PBE-GGA" rho_kg_m3=5250 energy_ev_per_cell=-33.52 space_group=F-43m pbc="T T T"
K 0.0000 0.0000 0.0000
K 0.0000 3.9510 3.9510
K 1.9755 1.9755 1.9755
K 1.9755 5.9264 5.9264
K 3.9510 0.0000 3.9510
K 3.9510 3.9510 0.0000
K 5.9264 1.9755 5.9264
K 5.9264 5.9264 1.9755
In 1.9755 1.9755 5.9264
In 1.9755 5.9264 1.9755
In 5.9264 1.9755 1.9755
In 5.9264 5.9264 5.9264
Au 0.0000 0.0000 3.9510
Au 0.0000 3.9510 0.0000
Au 3.9510 0.0000 0.0000
Au 3.9510 3.9510 3.9510

10
Lattice="4.2915 0.0000 0.0000 0.0000 4.2915 0.0000 0.0000 0.0000 14.8209" Properties=species:S:1:pos:R:3 comment="TmPaTe2S, relaxed, DFT PBE-GGA" rho_kg_m3=8362 formation_energy_uncorrected_mev_per_atom=-1238 space_group=P4/nmm pbc="T T T"
Tm 1.0729 1.0729 1.2721
Tm 3.2186 3.2186 13.5488
Pa 1.0729 1.0729 9.1246
Pa 3.2186 3.2186 5.6963
Te 1.0729 1.0729 4.3803
Te 1.0729 1.0729 13.0330
Te 3.2186 3.2186 1.7879
Te 3.2186 3.2186 10.4406
S 1.0729 3.2186 7.4105
S 3.2186 1.0729 7.4105

5
Lattice="4.3022 0.0000 0.0000 0.0000 4.3022 0.0000 0.0000 0.0000 5.0822" Properties=species:S:1:pos:R:3 comment="TlV2CrAu, relaxed, DFT PBE-GGA" rho_kg_m3=9801 energy_ev_per_cell=-28.79 space_group=P4/mmm pbc="T T T"
Tl 0.0000 0.0000 0.0000
V 0.0000 2.1511 2.5411
V 2.1511 0.0000 2.5411
Cr 0.0000 0.0000 2.5411
Au 2.1511 2.1511 0.0000

12
Lattice="9.6745 -2.2205 0.0000 9.6745 2.2205 0.0000 -2.0291 0.0000 8.6428" Properties=species:S:1:pos:R:3 comment="Tb3PmSm2Sb6, relaxed, DFT PBE-GGA" rho_kg_m3=7392 formation_energy_uncorrected_mev_per_atom=-1164 space_group=C2/m pbc="T T T"
Tb 0.0000 0.0000 0.0000
Tb 5.0994 0.0000 5.7646
Tb 12.2206 0.0000 2.8782
Pm -1.0146 0.0000 4.3214
Sm 6.1086 0.0000 1.4412
Sm 11.2113 0.0000 7.2016
Sb 3.0316 0.0000 0.7400
Sb 2.0729 0.0000 5.0202
Sb 8.1289 0.0000 6.5125
Sb 9.1910 0.0000 2.1303
Sb 15.2471 0.0000 3.6226
Sb 14.2883 0.0000 7.9028

12
Lattice="2.9696 0.0000 0.0000 -1.4848 2.5717 0.0000 0.0000 0.0000 29.4101" Properties=species:S:1:pos:R:3 comment="NpCuAs2, relaxed, DFT PBE-GGA" rho_kg_m3=9989 energy_ev_per_cell=-75.84 space_group=R-3m pbc="T T T"
Np 0.0000 0.0000 0.0000
Np 0.0000 1.7145 19.6068
Np 1.4848 0.8572 9.8034
Cu 0.0000 0.0000 14.7051
Cu 0.0000 1.7145 4.9017
Cu 1.4848 0.8572 24.5084
As 0.0000 0.0000 2.9548
As 0.0000 0.0000 26.4553
As 0.0000 1.7145 16.6519
As 0.0000 1.7145 22.5616
As 1.4848 0.8572 6.8485
As 1.4848 0.8572 12.7582